# LaEr2Fe9 | Alexandria via LeMat-Bulk | PBE | optimized geometry
data_LaEr2Fe9
_chemical_formula_sum 'La3 Er6 Fe27'
_space_group_name_H-M_alt 'R -3 m'
_space_group_IT_number 166
_space_group_name_Hall '-R 3 2"'
_cell_length_a 5.1188
_cell_length_b 5.1188
_cell_length_c 24.3631
_cell_angle_alpha 90.00
_cell_angle_beta 90.00
_cell_angle_gamma 120.00
loop_
_atom_site_label
_atom_site_fract_x
_atom_site_fract_y
_atom_site_fract_z
La1 0.0000 0.0000 0.0000
Er1 0.0000 0.0000 0.1422
Fe1 0.0000 0.0000 0.3326
Fe2 0.0000 0.0000 0.5000
Fe3 0.0007 0.5004 0.0837
# **Mass density**: 8.79 g cm⁻³
# **E_form**: -39 meV/atom

=====

# La2Er5Fe2 | Alexandria via LeMat-Bulk | PBE | optimized geometry
data_La2Er5Fe2
_chemical_formula_sum 'La8 Er20 Fe8'
_space_group_name_H-M_alt 'C m c e'
_space_group_IT_number 64
_space_group_name_Hall '-C 2ac 2'
_cell_length_a 20.274
_cell_length_b 7.009
_cell_length_c 6.995
_cell_angle_alpha 90.00
_cell_angle_beta 90.00
_cell_angle_gamma 90.00
loop_
_atom_site_label
_atom_site_fract_x
_atom_site_fract_y
_atom_site_fract_z
La1 0.230 0.000 0.000
Er1 0.000 0.000 0.000
Er2 0.103 0.180 0.323
Fe1 0.000 0.110 0.607
# **Mass density**: 8.19 g cm⁻³
# **E_form**: 14 meV/atom

=====

# LaEr3Fe | Alexandria via LeMat-Bulk | PBE | optimized geometry
data_LaEr3Fe
_chemical_formula_sum 'La1 Er3 Fe1'
_space_group_name_H-M_alt 'P m -3 m'
_space_group_IT_number 221
_space_group_name_Hall '-P 4 2 3'
_cell_length_a 5.270
_cell_length_b 5.270
_cell_length_c 5.270
_cell_angle_alpha 90.00
_cell_angle_beta 90.00
_cell_angle_gamma 90.00
loop_
_atom_site_label
_atom_site_fract_x
_atom_site_fract_y
_atom_site_fract_z
La1 0.000 0.000 0.000
Er1 0.000 0.500 0.500
Fe1 0.500 0.500 0.500
# **Mass density**: 7.90 g cm⁻³
# **E_form**: 64 meV/atom